[1]
This record from Alexandria describes crystalline Zr2Cr2Si at its relaxed geometry. The functional is GGA-PBE.

The structure belongs to space group P4/mbm (No. 127); the cell edges are 6.327, 6.327 and 4.170 Å and the angles 90.00°, 90.00° and 90.00°. The asymmetric unit holds Zr at (0.183, 0.317, 0.000), Cr at (0.116, 0.616, 0.500) and Si at (0.000, 0.000, 0.500).

As for the uncorrected formation energy: -95 meV per atom. Its density is 6.258 Mg/m³.


[2]
This record from Alexandria describes crystalline LaAs2Pb at its relaxed geometry. The functional is GGA-PBE.

The structure belongs to space group Imm2 (No. 44); the cell edges are 4.326, 4.367 and 10.902 Å and the angles 90.00°, 90.00° and 90.00°. The asymmetric unit holds La at (0.000, 0.000, 0.000), As at (0.000, 0.000, 0.499), As at (0.000, 0.500, 0.242) and Pb at (0.000, 0.500, 0.752).

For the distance to the lowest polymorph of the same formula, the calculation gives 92 meV per atom. Its density is 7.997 Mg/m³.


[3]
This record from Alexandria describes crystalline BNF3 at its relaxed geometry. The functional is GGA-PBE.

The structure belongs to space group P2_1/c (No. 14); the cell edges are 11.420, 4.720 and 6.388 Å and the angles 90.00°, 104.30° and 90.00°. The asymmetric unit holds B at (0.176, 0.058, 0.477), N at (0.488, 0.614, 0.487), F at (0.071, 0.184, 0.389), F at (0.201, 0.694, 0.907) and F at (0.255, 0.184, 0.639).

As for the uncorrected formation energy: -2228 meV per atom. For the distance to the lowest polymorph of the same formula, the calculation gives 0 meV per atom. Its density is 1.629 Mg/m³.


[4]
This record from Alexandria describes crystalline CoPb2Br at its relaxed geometry. The functional is GGA-PBE.

The structure belongs to space group Imm2 (No. 44); the cell edges are 3.310, 5.661 and 10.802 Å and the angles 90.00°, 90.00° and 90.00°. The asymmetric unit holds Co at (0.000, 0.000, 0.000), Pb at (0.000, 0.000, 0.496), Pb at (0.000, 0.500, 0.701) and Br at (0.000, 0.500, 0.331).

As for the uncorrected formation energy: 214 meV per atom. For the distance to the lowest polymorph of the same formula, the calculation gives 117 meV per atom. Its density is 9.078 Mg/m³.


[5]
This record from Alexandria describes crystalline KCoSe at its relaxed geometry. The functional is GGA-PBE.

The structure belongs to space group F-43m (No. 216); the cell edges are 6.470, 6.470 and 6.470 Å and the angles 90.00°, 90.00° and 90.00°. The asymmetric unit holds K at (0.000, 0.000, 0.000), Co at (0.250, 0.250, 0.750) and Se at (0.000, 0.000, 0.500).

As for the uncorrected formation energy: 216 meV per atom. For the distance to the lowest polymorph of the same formula, the calculation gives 640 meV per atom. Its density is 4.340 Mg/m³.


[6]
This record from Alexandria describes crystalline ZrP3W at its relaxed geometry. The functional is GGA-PBE.

The structure belongs to space group Pm-3m (No. 221); the cell edges are 4.845, 4.845 and 4.845 Å and the angles 90.00°, 90.00° and 90.00°. The asymmetric unit holds Zr at (0.000, 0.000, 0.000), P at (0.000, 0.000, 0.500) and W at (0.500, 0.500, 0.500).

For the distance to the lowest polymorph of the same formula, the calculation gives 1075 meV per atom. Its density is 5.374 Mg/m³.


[7]
This record from Alexandria describes crystalline MgOs2Pt at its relaxed geometry. The functional is GGA-PBE.

The structure belongs to space group Immm (No. 71); the cell edges are 2.779, 4.380 and 10.474 Å and the angles 90.00°, 90.00° and 90.00°. The asymmetric unit holds Mg at (0.000, 0.000, 0.000), Os at (0.000, 0.500, 0.218) and Pt at (0.000, 0.000, 0.500).

The value obtained for the calculated total energy is -59.45 eV/cell. Its density is 15.628 Mg/m³.


[8]
This record from Alexandria describes crystalline UGaPtRh at its relaxed geometry. The functional is GGA-PBE.

The structure belongs to space group F-43m (No. 216); the cell edges are 6.616, 6.616 and 6.616 Å and the angles 90.00°, 90.00° and 90.00°. The asymmetric unit holds U at (0.000, 0.000, 0.000), Ga at (0.000, 0.000, 0.500), Pt at (0.250, 0.250, 0.250) and Rh at (0.250, 0.250, 0.750).

The value obtained for the calculated total energy is -119.54 eV/cell. Its density is 13.896 Mg/m³.


[9]
This record from Alexandria describes crystalline Pt2PbCl at its relaxed geometry. The functional is GGA-PBE.

The structure belongs to space group R-3m (No. 166, hexagonal axes); the cell edges are 3.6065, 3.6065 and 21.9497 Å and the angles 90.00°, 90.00° and 120.00°. The asymmetric unit holds Pt at (0.0000, 0.0000, 0.2487), Pb at (0.0000, 0.0000, 0.5000) and Cl at (0.0000, 0.0000, 0.0000).

As for the uncorrected formation energy: 228 meV per atom. For the distance to the lowest polymorph of the same formula, the calculation gives 316 meV per atom. Its density is 12.750 Mg/m³.


[10]
This record from Alexandria describes crystalline LiTmNi2 at its relaxed geometry. The functional is GGA-PBE.

The structure belongs to space group P4/mmm (No. 123); the cell edges are 3.268, 3.268 and 5.643 Å and the angles 90.00°, 90.00° and 90.00°. The asymmetric unit holds Li at (0.000, 0.000, 0.000), Tm at (0.000, 0.000, 0.500) and Ni at (0.500, 0.500, 0.222).

For the distance to the lowest polymorph of the same formula, the calculation gives 0 meV per atom. Its density is 8.079 Mg/m³.


[11]
This record from Alexandria describes crystalline NiHgTe2N at its relaxed geometry. The functional is GGA-PBE.

The structure belongs to space group P4/mmm (No. 123); the cell edges are 5.743, 5.743 and 3.991 Å and the angles 90.00°, 90.00° and 90.00°. The asymmetric unit holds Ni at (0.000, 0.000, 0.000), Hg at (0.500, 0.500, 0.500), Te at (0.000, 0.500, 0.500) and N at (0.500, 0.500, 0.000).

As for the uncorrected formation energy: 1560 meV per atom. For the distance to the lowest polymorph of the same formula, the calculation gives 1130 meV per atom. Its density is 6.666 Mg/m³.


[12]
This record from Alexandria describes crystalline AlCoReSb2 at its relaxed geometry. The functional is GGA-PBE.

The structure belongs to space group P4/mmm (No. 123); the cell edges are 5.126, 5.126 and 4.738 Å and the angles 90.00°, 90.00° and 90.00°. The asymmetric unit holds Al at (0.000, 0.000, 0.000), Co at (0.500, 0.500, 0.000), Re at (0.500, 0.500, 0.500) and Sb at (0.000, 0.500, 0.500).

As for the uncorrected formation energy: 997 meV per atom. Its density is 6.878 Mg/m³.


[13]
This record from Alexandria describes crystalline CaSm2Cu at its relaxed geometry. The functional is GGA-PBE.

The structure belongs to space group R-3m (No. 166, hexagonal axes); the cell edges are 3.7519, 3.7519 and 30.8540 Å and the angles 90.00°, 90.00° and 120.00°. The asymmetric unit holds Ca at (0.0000, 0.0000, 0.0000), Sm at (0.0000, 0.0000, 0.2296) and Cu at (0.0000, 0.0000, 0.5000).

For the distance to the lowest polymorph of the same formula, the calculation gives 100 meV per atom. Its density is 5.355 Mg/m³.


[14]
This record from Alexandria describes crystalline HfTa2Nb2 at its relaxed geometry. The functional is GGA-PBE.

The structure belongs to space group C2/m (No. 12); the cell edges are 8.239, 4.742 and 5.561 Å and the angles 90.00°, 119.65° and 90.00°. The asymmetric unit holds Hf at (0.000, 0.000, 0.000), Ta at (0.205, 0.000, 0.614) and Nb at (0.094, 0.500, 0.782).

The value obtained for the calculated total energy is -107.35 eV/cell. Its density is 12.771 Mg/m³.


[15]
This record from Alexandria describes crystalline BiAs2WSe at its relaxed geometry. The functional is GGA-PBE.

The structure belongs to space group P4/mmm (No. 123); the cell edges are 5.069, 5.069 and 4.763 Å and the angles 90.00°, 90.00° and 90.00°. The asymmetric unit holds Bi at (0.000, 0.000, 0.000), As at (0.000, 0.500, 0.500), W at (0.500, 0.500, 0.500) and Se at (0.500, 0.500, 0.000).

As for the uncorrected formation energy: 479 meV per atom. For the distance to the lowest polymorph of the same formula, the calculation gives 0 meV per atom. Its density is 8.436 Mg/m³.


[16]
This record from Alexandria describes crystalline SrI3O at its relaxed geometry. The functional is GGA-PBE.

The structure belongs to space group Pm-3m (No. 221); the cell edges are 5.288, 5.288 and 5.288 Å and the angles 90.00°, 90.00° and 90.00°. The asymmetric unit holds Sr at (0.000, 0.000, 0.000), I at (0.000, 0.500, 0.500) and O at (0.500, 0.500, 0.500).

As for the uncorrected formation energy: -543 meV per atom. For the distance to the lowest polymorph of the same formula, the calculation gives 0 meV per atom. Its density is 5.438 Mg/m³.


[17]
This record from Alexandria describes crystalline ReSiCl3 at its relaxed geometry. The functional is GGA-PBE.

The structure belongs to space group Pm-3m (No. 221); the cell edges are 5.062, 5.062 and 5.062 Å and the angles 90.00°, 90.00° and 90.00°. The asymmetric unit holds Re at (0.000, 0.000, 0.000), Si at (0.500, 0.500, 0.500) and Cl at (0.000, 0.500, 0.500).

As for the uncorrected formation energy: 790 meV per atom. For the distance to the lowest polymorph of the same formula, the calculation gives 80 meV per atom. Its density is 4.104 Mg/m³.


[18]
This record from Alexandria describes crystalline Mn2CoCl6 at its relaxed geometry. The functional is GGA-PBE.

The structure belongs to space group C2/m (No. 12); the cell edges are 13.971, 3.647 and 9.628 Å and the angles 90.00°, 112.29° and 90.00°. The asymmetric unit holds Mn at (0.166, 0.000, 0.329), Co at (0.000, 0.500, 0.000), Cl at (0.031, 0.500, 0.269), Cl at (0.127, 0.000, 0.050) and Cl at (0.199, 0.000, 0.611).

As for the uncorrected formation energy: -895 meV per atom. Its density is 2.792 Mg/m³.


[19]
This record from Alexandria describes crystalline SbMoSe2 at its relaxed geometry. The functional is GGA-PBE.

The structure belongs to space group P4mm (No. 99); the cell edges are 3.189, 3.189 and 8.591 Å and the angles 90.00°, 90.00° and 90.00°. The asymmetric unit holds Sb at (0.000, 0.000, 0.000), Mo at (0.500, 0.500, 0.773), Se at (0.000, 0.000, 0.622) and Se at (0.500, 0.500, 0.260).

As for the uncorrected formation energy: 81 meV per atom. Its density is 7.137 Mg/m³.


[20]
This record from Alexandria describes crystalline NiPH2 at its relaxed geometry. The functional is GGA-PBE.

The structure belongs to space group Fm-3m (No. 225); the cell edges are 4.989, 4.989 and 4.989 Å and the angles 90.00°, 90.00° and 90.00°. The asymmetric unit holds Ni at (0.000, 0.000, 0.000), P at (0.000, 0.000, 0.500) and H at (0.250, 0.250, 0.250).

For the distance to the lowest polymorph of the same formula, the calculation gives 187 meV per atom. Its density is 4.904 Mg/m³.


[21]
This record from Alexandria describes crystalline KCr2N2 at its relaxed geometry. The functional is GGA-PBE.

The structure belongs to space group I4/mmm (No. 139); the cell edges are 3.892, 3.892 and 12.337 Å and the angles 90.00°, 90.00° and 90.00°. The asymmetric unit holds K at (0.000, 0.000, 0.000), Cr at (0.000, 0.000, 0.263) and N at (0.000, 0.500, 0.250).

As for the uncorrected formation energy: -112 meV per atom. Its density is 3.041 Mg/m³.


[22]
This record from Alexandria describes crystalline MgZn3Cu3 at its relaxed geometry. The functional is GGA-PBE.

The structure belongs to space group Pm-3n (No. 223); the cell edges are 6.631, 6.631 and 6.631 Å and the angles 90.00°, 90.00° and 90.00°. The asymmetric unit holds Mg at (0.000, 0.000, 0.000), Zn at (0.000, 0.250, 0.500) and Cu at (0.000, 0.500, 0.250).

For the distance to the lowest polymorph of the same formula, the calculation gives 617 meV per atom. Its density is 4.684 Mg/m³.


[23]
This record from Alexandria describes crystalline PrY8Sc4 at its relaxed geometry. The functional is GGA-PBE.

The structure belongs to space group R-3m (No. 166, hexagonal axes); the cell edges are 7.1557, 7.1557 and 26.6682 Å and the angles 90.00°, 90.00° and 120.00°. The asymmetric unit holds Pr at (0.0000, 0.0000, 0.0000), Y at (0.0000, 0.0000, 0.2809), Y at (0.0314, 0.5157, 0.2637), Sc at (0.0000, 0.0000, 0.5000) and Sc at (0.0000, 0.5000, 0.5000).

The value obtained for the calculated total energy is -235.72 eV/cell. Its density is 4.347 Mg/m³.


[24]
This record from Alexandria describes crystalline Ce2Pm3Y6Ho at its relaxed geometry. The functional is GGA-PBE.

The structure belongs to space group C2/m (No. 12); the cell edges are 6.208, 10.749 and 11.819 Å and the angles 90.00°, 100.07° and 90.00°. The asymmetric unit holds Ce at (0.000, 0.166, 0.000), Pm at (0.000, 0.000, 0.500), Pm at (0.000, 0.334, 0.500), Y at (0.247, 0.000, 0.247), Y at (0.250, 0.168, 0.754) and Ho at (0.000, 0.500, 0.000).

The value obtained for the calculated total energy is -137.86 eV/cell. Its density is 6.046 Mg/m³.


[25]
This record from Alexandria describes crystalline BaBr2Cl at its relaxed geometry. The functional is GGA-PBE.

The structure belongs to space group Pmmm (No. 47); the cell edges are 4.875, 4.885 and 5.815 Å and the angles 90.00°, 90.00° and 90.00°. The asymmetric unit holds Ba at (0.000, 0.000, 0.000), Br at (0.500, 0.500, 0.248) and Cl at (0.000, 0.000, 0.500).

As for the uncorrected formation energy: -1530 meV per atom. For the distance to the lowest polymorph of the same formula, the calculation gives 79 meV per atom. Its density is 3.988 Mg/m³.


[26]
This record from Alexandria describes crystalline TcNi2Ag at its relaxed geometry. The functional is GGA-PBE.

The structure belongs to space group I-4m2 (No. 119); the cell edges are 3.695, 3.695 and 7.928 Å and the angles 90.00°, 90.00° and 90.00°. The asymmetric unit holds Tc at (0.000, 0.000, 0.000), Ni at (0.000, 0.000, 0.500), Ni at (0.000, 0.500, 0.250) and Ag at (0.000, 0.500, 0.750).

For the distance to the lowest polymorph of the same formula, the calculation gives 323 meV per atom. Its density is 9.917 Mg/m³.


[27]
This record from Alexandria describes crystalline Ce2Pu2Si4Ni at its relaxed geometry. The functional is GGA-PBE.

The structure belongs to space group I4/mmm (No. 139); the cell edges are 6.701, 6.701 and 8.360 Å and the angles 90.00°, 90.00° and 90.00°. The asymmetric unit holds Ce at (0.000, 0.500, 0.250), Pu at (0.000, 0.000, 0.176), Si at (0.235, 0.235, 0.500) and Ni at (0.000, 0.000, 0.500).

As for the uncorrected formation energy: -380 meV per atom. Its density is 8.309 Mg/m³.


| no. | size of the total moment (μB per formula unit) |
| --- | --- |
| 1 | 0.00 |
| 2 | 0.00 |
| 3 | 0.02 |
| 4 | 1.22 |
| 5 | 2.01 |
| 6 | 0.00 |
| 7 | 0.00 |
| 8 | 1.69 |
| 9 | 0.00 |
| 10 | 0.00 |
| 11 | 2.78 |
| 12 | 1.58 |
| 13 | 0.00 |
| 14 | 0.00 |
| 15 | 0.00 |
| 16 | 0.00 |
| 17 | 5.97 |
| 18 | 12.93 |
| 19 | 0.00 |
| 20 | 0.00 |
| 21 | 5.05 |
| 22 | 0.00 |
| 23 | 0.00 |
| 24 | 1.94 |
| 25 | 0.00 |
| 26 | 1.72 |
| 27 | 12.42 |